(1)
NaPrY2 | PBE-GGA | optimized geometry

Unit cell a=3.6048 b=3.6048 c=36.6732 alpha=90.00 beta=90.00 gamma=120.00
With the nearest neighbours (Å) after each atom.
Space group R3m (No. 160, hexagonal axes)
Symmetry-distinct sites (fractional):
Na 0.0000 0.0000 0.0000 x3  6 Na 3.60, 6 Y 3.78-3.79
Pr 0.0000 0.0000 0.1665 x3  6 Pr 3.60, 6 Y 3.61
Y 0.0000 0.0000 0.4194 x3  6 Y 3.60, 3 Pr 3.61, 3 Na 3.78
Y 0.0000 0.0000 0.5804 x3  6 Y 3.60, 3 Pr 3.61, 3 Na 3.79

Values from the calculation:
The polymorph energy (0 for the lowest one) comes out at 0.1 kJ per mole of atoms. The calculated total energy comes out at -4.6093 eV per atom. As for the total magnetization: 0.00 μB per atom.


(2)
ThScIn3 | PBE-GGA | optimized geometry

Unit cell a=4.5107 b=4.5107 c=13.6234 alpha=90.00 beta=90.00 gamma=90.00
With the nearest neighbours (Å) after each atom.
Space group I4mm (No. 107)
Symmetry-distinct sites (fractional):
Th 0.0000 0.0000 0.0000 x2  8 In 3.27-3.62
Sc 0.0000 0.0000 0.6506 x2  5 In 2.79-2.97
In 0.0000 0.0000 0.4461 x2  1 Sc 2.79, 4 In 3.08
In 0.0000 0.5000 0.2925 x4  2 Sc 2.97, 6 In 3.08-3.19

Values from the calculation:
The calculated total energy comes out at -4.4834 eV per atom. As for the total magnetization: 0.00 μB per atom.


(3)
CaNiSe2Br | PBE-GGA | optimized geometry

Unit cell a=5.5349 b=5.5349 c=5.4385 alpha=90.00 beta=90.00 gamma=90.00
With the nearest neighbours (Å) after each atom.
Space group P4/mmm (No. 123)
Symmetry-distinct sites (fractional):
Ca 0.0000 0.0000 0.0000 x1  2 Br 2.72, 4 Se 2.77
Ni 0.5000 0.5000 0.5000 x1  8 Se 3.88, 4 Br 3.91
Se 0.0000 0.5000 0.0000 x2  2 Ca 2.77
Br 0.0000 0.0000 0.5000 x1  2 Ca 2.72

Values from the calculation:
The energy relative to the elements, uncorrected comes out at 0.281 eV per atom. The polymorph energy (0 for the lowest one) comes out at 91.6 kJ per mole of atoms. The calculated total energy comes out at -3.0036 eV per atom. As for the total magnetization: 0.51 μB per atom.


(4)
Ho6Bi2SbSe3 | PBE-GGA | optimized geometry

Unit cell a=18.5296 b=4.2466 c=8.4909 alpha=90.00 beta=103.37 gamma=90.00
With the nearest neighbours (Å) after each atom.
Space group C2/m (No. 12)
Symmetry-distinct sites (fractional):
Ho 0.0049 0.0000 0.2457 x4  3 Se 2.93-2.96, 2 Sb 3.04, 1 Bi 3.10
Ho 0.1611 0.5000 0.0962 x4  3 Se 2.91-2.92, 3 Bi 3.09-3.10
Ho 0.1688 0.5000 0.5707 x4  3 Se 2.92-2.95, 1 Sb 3.04, 2 Bi 3.09
Bi 0.1670 0.0000 0.8348 x4  6 Ho 3.09-3.10
Sb 0.0000 0.5000 0.5000 x2  6 Ho 3.04
Se 0.0000 0.5000 0.0000 x2  6 Ho 2.91-2.96
Se 0.1675 0.0000 0.3345 x4  6 Ho 2.92-2.95

Values from the calculation:
The energy relative to the elements, uncorrected comes out at -1.310 eV per atom. The calculated total energy comes out at -5.4601 eV per atom. As for the total magnetization: 0.00 μB per atom.